[1]
The following is a PBE calculation of an optimized crystal structure of Br4Cl3, from Alexandria via LeMat-Bulk.

Space group: P6/mmm, No. 191
Crystal system: hexagonal
E_form (uncorrected) in meV/atom: 551
ρ in g cm⁻³: 3.44

a b c (Å): 7.0846 7.0846 4.7249
angles (deg): 90.00 90.00 120.00
With the nearest neighbours (Å) after each atom.
Positions (direct):
1 Br 0.0000 0.0000 0.2494  2 Br 2.36-2.37
2 Br 0.6667 0.3333 0.5000  6 Cl 3.12
3 Br 0.0000 0.0000 0.7506  2 Br 2.36-2.37
4 Br 0.3333 0.6667 0.5000  6 Cl 3.12
5 Cl 0.0000 0.5000 0.0000  4 Br 3.12
6 Cl 0.5000 0.0000 0.0000  4 Br 3.12
7 Cl 0.5000 0.5000 0.0000  4 Br 3.12


[2]
The following is a PBE calculation of an optimized crystal structure of Sm4MgCo, from Alexandria via LeMat-Bulk.

Space group: F-43m, No. 216
Crystal system: cubic
ρ in g cm⁻³: 6.91
Formation energy in meV per atom: -119.1

a b c (Å): 9.7636 9.7636 9.7636
angles (deg): 60.00 60.00 60.00
With the nearest neighbours (Å) after each atom.
Positions (direct):
1 Sm 0.9369 0.9369 0.5631  2 Co 2.83
2 Sm 0.1880 0.8120 0.1880  2 Mg 3.35, 2 Co 3.52, 10 Sm 3.52-3.67
3 Sm 0.4051 0.4051 0.7848  3 Co 2.83
4 Sm 0.9369 0.5631 0.9369  2 Co 2.83
5 Sm 0.4051 0.7848 0.4051  3 Co 2.83
6 Sm 0.7848 0.4051 0.4051  3 Co 2.83
7 Sm 0.8120 0.8120 0.1880  2 Mg 3.35, 2 Co 3.52, 10 Sm 3.52-3.67
8 Sm 0.8120 0.1880 0.8120  2 Mg 3.35, 2 Co 3.52, 10 Sm 3.52-3.67
9 Sm 0.5631 0.9369 0.9369  2 Co 2.83
10 Sm 0.4051 0.4051 0.4051  3 Co 2.83
11 Sm 0.5631 0.9369 0.5631  2 Co 2.83
12 Sm 0.8120 0.1880 0.1880  2 Mg 3.35, 2 Co 3.52, 10 Sm 3.52-3.67
13 Sm 0.1880 0.8120 0.8120  2 Mg 3.35, 2 Co 3.52, 10 Sm 3.52-3.67
14 Sm 0.5631 0.5631 0.9369  2 Co 2.83
15 Sm 0.1880 0.1880 0.8120  2 Mg 3.35, 2 Co 3.52, 10 Sm 3.52-3.67
16 Sm 0.9369 0.5631 0.5631  2 Co 2.83
17 Mg 0.4872 0.1709 0.1709  3 Mg 3.09, 3 Sm 3.35
18 Mg 0.1709 0.4872 0.1709  3 Mg 3.09, 3 Sm 3.35
19 Mg 0.1709 0.1709 0.1709  3 Mg 3.09, 3 Sm 3.35
20 Mg 0.1709 0.1709 0.4872  3 Mg 3.09, 3 Sm 3.35
21 Co 0.6090 0.6089 0.6089  6 Sm 2.83
22 Co 0.6090 0.1732 0.6089  6 Sm 2.83
23 Co 0.6090 0.6089 0.1732  6 Sm 2.83
24 Co 0.1732 0.6089 0.6089  6 Sm 2.83


[3]
The following is a PBE calculation of an optimized crystal structure of Tb4HoTh, from Alexandria via LeMat-Bulk.

Space group: P-1, No. 2
Crystal system: triclinic
ρ in g cm⁻³: 8.97
Formation energy in meV per atom: 25.4

a b c (Å): 3.5525 9.4253 11.8201
angles (deg): 148.74 90.15 100.81
With the nearest neighbours (Å) after each atom.
Positions (direct):
1 Tb 0.3347 0.6699 0.9998  2 Th 3.53, 7 Tb 3.53-3.62, 3 Ho 3.56-3.58
2 Tb 0.6653 0.3302 0.0003  2 Th 3.53, 7 Tb 3.53-3.62, 3 Ho 3.56-3.58
3 Tb 0.8296 0.6580 0.4948  7 Tb 3.51-3.59, 3 Th 3.52-3.57, 2 Ho 3.58
4 Tb 0.1703 0.3418 0.5051  7 Tb 3.51-3.59, 3 Th 3.52-3.57, 2 Ho 3.58
5 Th 0.0000 0.0000 0.9999  10 Tb 3.52-3.57, 2 Th 3.55
6 Ho 0.5000 0.0000 0.5001  2 Ho 3.55, 10 Tb 3.56-3.58


[4]
The following is a PBE calculation of an optimized crystal structure of SrNiGe, from Alexandria via LeMat-Bulk.

Space group: Pnma, No. 62
Crystal system: orthorhombic
ρ in g cm⁻³: 5.13
Formation energy in meV per atom: -461.4

a b c (Å): 4.2094 7.4515 9.0360
angles (deg): 90.00 90.00 90.00
With the nearest neighbours (Å) after each atom.
Positions (direct):
1 Ni 0.2500 0.1102 0.4785  3 Ge 2.33-2.35
2 Ni 0.7500 0.8898 0.5215  3 Ge 2.33-2.35
3 Ni 0.7500 0.3898 0.9785  3 Ge 2.33-2.35
4 Ni 0.2500 0.6102 0.0215  3 Ge 2.33-2.35
5 Ge 0.7500 0.2017 0.5578  3 Ni 2.33-2.35
6 Ge 0.2500 0.2983 0.0578  3 Ni 2.33-2.35
7 Ge 0.7500 0.7017 0.9422  3 Ni 2.33-2.35
8 Ge 0.2500 0.7983 0.4422  3 Ni 2.33-2.35
9 Sr 0.2500 0.4947 0.7000  3 Ni 3.03-3.37, 3 Ge 3.25-3.29
10 Sr 0.7500 0.5053 0.3000  3 Ni 3.03-3.37, 3 Ge 3.25-3.29
11 Sr 0.7500 0.0053 0.2000  3 Ni 3.03-3.37, 3 Ge 3.25-3.29
12 Sr 0.2500 0.9947 0.8000  3 Ni 3.03-3.37, 3 Ge 3.25-3.29


[5]
The following is a PBE calculation of an optimized crystal structure of LiCa3Al8, from Alexandria via LeMat-Bulk.

Space group: R3m, No. 160
Crystal system: trigonal
ρ in g cm⁻³: 2.28
Formation energy in meV per atom: -262.7

a b c (Å): 5.6109 5.6109 9.7255
angles (deg): 73.23 73.23 60.00
With the nearest neighbours (Å) after each atom.
Positions (direct):
1 Al 0.9373 0.4367 0.1893  6 Al 2.79-2.82
2 Al 0.4367 0.4367 0.1893  6 Al 2.79-2.82
3 Al 0.1876 0.1876 0.4372  6 Al 2.79
4 Al 0.4384 0.9383 0.6849  6 Al 2.79-2.82
5 Al 0.9383 0.9383 0.6849  6 Al 2.79-2.82
6 Al 0.4367 0.9373 0.1893  6 Al 2.79-2.82
7 Al 0.9383 0.4384 0.6849  6 Al 2.79-2.82
8 Al 0.6876 0.6876 0.9373  6 Al 2.82
9 Li 0.8745 0.8745 0.3764  12 Al 3.26-3.29, 4 Ca 3.38-3.41
10 Ca 0.3751 0.3751 0.8748  12 Al 3.29-3.31, 4 Ca 3.46-3.50
11 Ca 0.9972 0.9972 0.0083  12 Al 3.26-3.38, 1 Li 3.38, 3 Ca 3.46
12 Ca 0.5022 0.5022 0.4933  12 Al 3.22-3.31, 3 Li 3.41, 1 Ca 3.50


[6]
The following is a PBE calculation of an optimized crystal structure of Hf5HPb3, from Alexandria via LeMat-Bulk.

Space group: P6_3/mcm, No. 193
Crystal system: hexagonal
Uncorrected energy in eV per atom: -7.187
ρ in g cm⁻³: 13.65

a b c (Å): 5.7665 8.5922 8.5922
angles (deg): 120.00 90.00 90.00
With the nearest neighbours (Å) after each atom.
Positions (direct):
1 Pb 0.7500 0.0000 0.3979  9 Hf 2.97-3.28
2 Pb 0.2500 0.0000 0.6021  9 Hf 2.97-3.28
3 Pb 0.2500 0.6021 0.0000  9 Hf 2.97-3.28
4 Pb 0.7500 0.3979 0.0000  9 Hf 2.97-3.28
5 Pb 0.7500 0.6021 0.6021  9 Hf 2.97-3.28
6 Pb 0.2500 0.3979 0.3979  9 Hf 2.97-3.28
7 Hf 0.2500 0.2204 0.0000  2 H 2.38
8 Hf 0.0000 0.6667 0.3333  2 Hf 2.88, 6 Pb 3.00
9 Hf 0.2500 0.7796 0.7796  2 H 2.38
10 Hf 0.0000 0.3333 0.6667  2 Hf 2.88, 6 Pb 3.00
11 Hf 0.2500 0.0000 0.2204  2 H 2.38
12 Hf 0.7500 0.0000 0.7796  2 H 2.38
13 Hf 0.7500 0.7796 0.0000  2 H 2.38
14 Hf 0.5000 0.3333 0.6667  2 Hf 2.88, 6 Pb 3.00
15 Hf 0.7500 0.2204 0.2204  2 H 2.38
16 Hf 0.5000 0.6667 0.3333  2 Hf 2.88, 6 Pb 3.00
17 H 0.0000 0.0000 0.0000  6 Hf 2.38
18 H 0.5000 0.0000 0.0000  6 Hf 2.38


[7]
The following is a PBE calculation of an optimized crystal structure of MgCdIn2Bi2, from Alexandria via LeMat-Bulk.

Space group: Pmc2_1, No. 26
Crystal system: orthorhombic
ρ in g cm⁻³: 7.68
Formation energy in meV per atom: -18.3

a b c (Å): 4.5730 7.0836 10.4666
angles (deg): 90.00 90.00 90.00
With the nearest neighbours (Å) after each atom.
Positions (direct):
1 Cd 0.5000 0.1291 0.6565  4 Bi 3.06-3.14, 2 Mg 3.23
2 Cd 0.5000 0.6291 0.3435  4 Bi 3.06-3.14, 2 Mg 3.23
3 Bi 0.5000 0.1891 0.3596  2 Cd 3.12-3.14, 4 Mg 3.18-3.32, 2 In 3.38
4 Bi 0.0000 0.3248 0.7985  2 Cd 3.06, 1 Mg 3.13, 1 In 3.27
5 Bi 0.5000 0.6891 0.6404  2 Cd 3.12-3.14, 4 Mg 3.18-3.32, 2 In 3.38
6 Bi 0.0000 0.8248 0.2015  2 Cd 3.06, 1 Mg 3.13, 1 In 3.27
7 Mg 0.0000 0.9141 0.4942  5 Bi 3.13-3.32, 4 Cd 3.23-3.43
8 Mg 0.0000 0.4141 0.5058  5 Bi 3.13-3.32, 4 Cd 3.23-3.43
9 In 0.0000 0.3681 0.1555  3 Bi 3.27-3.38, 4 In 3.27-3.37, 2 Cd 3.54
10 In 0.0000 0.8681 0.8445  3 Bi 3.27-3.38, 4 In 3.27-3.37, 2 Cd 3.54
11 In 0.5000 0.6205 0.9925  6 In 3.27-3.55, 2 Bi 3.48
12 In 0.5000 0.1205 0.0075  6 In 3.27-3.55, 2 Bi 3.48


[8]
The following is a PBE calculation of an optimized crystal structure of Sm3HoCd4, from Alexandria via LeMat-Bulk.

Space group: P4/mmm, No. 123
Crystal system: tetragonal
ρ in g cm⁻³: 8.10
Formation energy in meV per atom: -315.1

a b c (Å): 5.3338 7.6734 10.6693
angles (deg): 90.00 90.00 90.00
With the nearest neighbours (Å) after each atom.
Positions (direct):
1 Cd 0.9994 0.2557 0.2500  6 Sm 3.26-3.31, 2 Ho 3.26
2 Cd 0.5000 0.7443 0.0000  2 Ho 3.26, 6 Sm 3.26-3.31
3 Cd 0.5000 0.7443 0.5000  2 Ho 3.26, 6 Sm 3.26-3.31
4 Cd 0.0006 0.2557 0.7500  6 Sm 3.26-3.31, 2 Ho 3.26
5 Cd 0.5000 0.2557 0.5000  2 Ho 3.26, 6 Sm 3.26-3.31
6 Cd 0.5000 0.2557 0.0000  2 Ho 3.26, 6 Sm 3.26-3.31
7 Cd 0.0006 0.7443 0.7500  6 Sm 3.26-3.31, 2 Ho 3.26
8 Cd 0.9994 0.7443 0.2500  6 Sm 3.26-3.31, 2 Ho 3.26
9 Sm 0.5006 0.5000 0.7500  8 Cd 3.26
10 Sm 0.5006 0.0000 0.7500  8 Cd 3.31
11 Sm 0.4994 0.5000 0.2500  8 Cd 3.26
12 Sm 0.0000 0.0000 0.0000  8 Cd 3.31
13 Sm 0.0000 0.0000 0.5000  8 Cd 3.31
14 Sm 0.4994 0.0000 0.2500  8 Cd 3.31
15 Ho 0.0000 0.5000 0.0000  8 Cd 3.26
16 Ho 0.0000 0.5000 0.5000  8 Cd 3.26


[9]
The following is a PBE calculation of an optimized crystal structure of SrCrBr2, from Alexandria via LeMat-Bulk.

Space group: I-42d, No. 122
Crystal system: tetragonal
E_form (uncorrected) in meV/atom: -595
ρ in g cm⁻³: 3.60

a b c (Å): 5.5809 5.5809 9.7144
angles (deg): 73.31 73.31 90.00
With the nearest neighbours (Å) after each atom.
Positions (direct):
1 Br 0.8750 0.8448 0.7500  2 Cr 2.89, 2 Sr 3.05
2 Br 0.3750 0.4052 0.7500  2 Cr 2.89, 2 Sr 3.05
3 Br 0.1552 0.6250 0.2500  2 Cr 2.89, 2 Sr 3.05
4 Br 0.5948 0.1250 0.2500  2 Cr 2.89, 2 Sr 3.05
5 Sr 0.0000 0.0000 0.0000  4 Br 3.05
6 Sr 0.7500 0.2500 0.5000  4 Br 3.05
7 Cr 0.5000 0.5000 0.0000  4 Br 2.89
8 Cr 0.2500 0.7500 0.5000  4 Br 2.89


[10]
The following is a PBE calculation of an optimized crystal structure of RbPd2F11, from Alexandria via LeMat-Bulk.

Space group: Ibam, No. 72
Crystal system: orthorhombic
E_form (uncorrected) in meV/atom: -1325
ρ in g cm⁻³: 3.19

a b c (Å): 9.7813 8.8649 8.8649
angles (deg): 65.21 56.52 56.52
With the nearest neighbours (Å) after each atom.
Positions (direct):
1 F 0.3644 0.8448 0.9162  1 Pd 1.91
2 F 0.2972 0.7286 0.2714  1 Pd 1.88
3 F 0.8644 0.4162 0.3448  1 Pd 1.91
4 F 0.8746 0.9162 0.8448  1 Pd 1.91
5 F 0.4411 0.8651 0.3735  1 Pd 1.91
6 F 0.0589 0.1265 0.6349  1 Pd 1.91
7 F 0.7028 0.2713 0.7287  1 Pd 1.88
8 F 0.0000 0.0000 0.0000  2 Pd 2.02
9 F 0.1254 0.0838 0.1552  1 Pd 1.91
10 F 0.5000 0.5000 0.5000  2 Pd 2.02
11 F 0.6797 0.6265 0.1349  1 Pd 1.91
12 F 0.9411 0.8735 0.3651  1 Pd 1.91
13 F 0.6356 0.1552 0.0838  1 Pd 1.91
14 F 0.3203 0.3735 0.8651  1 Pd 1.91
15 F 0.6254 0.6552 0.5838  1 Pd 1.91
16 F 0.1356 0.5838 0.6552  1 Pd 1.91
17 F 0.3746 0.3448 0.4162  1 Pd 1.91
18 F 0.1797 0.6349 0.1265  1 Pd 1.91
19 F 0.5589 0.1349 0.6265  1 Pd 1.91
20 F 0.7972 0.7714 0.2286  1 Pd 1.88
21 F 0.2028 0.2286 0.7714  1 Pd 1.88
22 F 0.8203 0.3651 0.8735  1 Pd 1.91
23 Pd 0.1533 0.8589 0.1411  6 F 1.88-2.02
24 Pd 0.6533 0.6411 0.3589  6 F 1.88-2.02
25 Pd 0.3467 0.3589 0.6411  6 F 1.88-2.02
26 Pd 0.8467 0.1411 0.8589  6 F 1.88-2.02
27 Rb 0.7500 0.7500 0.7500  8 F 2.90-2.92
28 Rb 0.2500 0.2500 0.2500  8 F 2.90-2.92


[11]
The following is a PBE calculation of an optimized crystal structure of YTmTcAg, from Alexandria via LeMat-Bulk.

Space group: F-43m, No. 216
Crystal system: cubic
ρ in g cm⁻³: 9.00
Formation energy in meV per atom: -137.8

a b c (Å): 4.9452 4.9452 4.9452
angles (deg): 60.00 60.00 60.00
With the nearest neighbours (Å) after each atom.
Positions (direct):
1 Ag 0.0000 0.0000 0.0000  4 Tm 3.03, 4 Y 3.03
2 Tm 0.7500 0.7500 0.7500  4 Tc 3.03, 4 Ag 3.03
3 Tc 0.5000 0.5000 0.5000  4 Y 3.03, 4 Tm 3.03
4 Y 0.2500 0.2500 0.2500  4 Ag 3.03, 4 Tc 3.03


[12]
The following is a PBE calculation of an optimized crystal structure of Re2SnTe2, from Alexandria via LeMat-Bulk.

Space group: I4/mmm, No. 139
Crystal system: tetragonal
E_form (uncorrected) in meV/atom: 659
ρ in g cm⁻³: 10.70

a b c (Å): 4.9939 4.9939 5.8350
angles (deg): 64.66 64.66 90.00
With the nearest neighbours (Å) after each atom.
Positions (direct):
1 Re 0.6266 0.6266 0.7469  1 Re 2.35
2 Re 0.3734 0.3734 0.2531  1 Re 2.35
3 Sn 0.0000 0.0000 0.0000  8 Te 3.41, 10 Re 3.47-3.72
4 Te 0.7500 0.2500 0.5000  4 Re 2.75
5 Te 0.2500 0.7500 0.5000  4 Re 2.75


[13]
The following is a PBE calculation of an optimized crystal structure of La2ZnTc, from Alexandria via LeMat-Bulk.

Space group: P4mm, No. 99
Crystal system: tetragonal
ρ in g cm⁻³: 7.07
Formation energy in meV per atom: 28.3

a b c (Å): 3.6089 3.6089 7.9591
angles (deg): 90.00 90.00 90.00
With the nearest neighbours (Å) after each atom.
Positions (direct):
1 Tc 0.0000 0.0000 0.5859  1 La 2.57, 4 Zn 2.67
2 Zn 0.5000 0.5000 0.6862  4 Tc 2.67, 1 La 2.92
3 La 0.5000 0.5000 0.3191  1 Zn 2.92
4 La 0.0000 0.0000 0.9088  1 Tc 2.57


[14]
The following is a PBE calculation of an optimized crystal structure of MgTeRhN2, from Alexandria via LeMat-Bulk.

Space group: P4/mmm, No. 123
Crystal system: tetragonal
E_form (uncorrected) in meV/atom: 764
ρ in g cm⁻³: 5.34

a b c (Å): 3.9170 3.9170 5.7285
angles (deg): 90.00 90.00 90.00
With the nearest neighbours (Å) after each atom.
Positions (direct):
1 N 0.0000 0.5000 0.0000  2 Rh 1.96
2 N 0.5000 0.0000 0.0000  2 Rh 1.96
3 Mg 0.5000 0.5000 0.5000  4 Te 2.77
4 Te 0.0000 0.0000 0.5000  4 Mg 2.77, 2 Rh 2.86
5 Rh 0.0000 0.0000 0.0000  4 N 1.96


[15]
The following is a PBE calculation of an optimized crystal structure of Ce2TlZn, from Alexandria via LeMat-Bulk.

Space group: P4/mmm, No. 123
Crystal system: tetragonal
ρ in g cm⁻³: 8.74
Formation energy in meV per atom: -196.2

a b c (Å): 3.9082 3.9082 6.8429
angles (deg): 90.00 90.00 90.00
With the nearest neighbours (Å) after each atom.
Positions (direct):
1 Zn 0.5000 0.5000 0.0000  8 Ce 3.11, 2 Tl 3.42
2 Ce 0.0000 0.0000 0.7928  1 Ce 2.84, 4 Zn 3.11
3 Ce 0.0000 0.0000 0.2072  1 Ce 2.84, 4 Zn 3.11
4 Tl 0.5000 0.5000 0.5000  8 Ce 3.41, 2 Zn 3.42